PrHo2InAu4 | PBE | optimized geometry

a b c (Å): 4.9840 4.9840 9.1482
angles (deg): 74.19 74.19 60.00
Last column: nearest neighbours and their distance in Å.
Sites, in units of the cell vectors:
Pr1 0.0000 0.0000 0.0000  8 Au 3.13-3.16
Ho1 0.7604 0.7604 0.7188  7 Au 2.96-3.12
Ho2 0.2396 0.2396 0.2812  7 Au 2.96-3.12
In1 0.5000 0.5000 0.5000  8 Au 3.03-3.12
Au1 0.3839 0.3839 0.8484  1 In 3.03, 3 Ho 3.09, 3 Pr 3.16
Au2 0.8800 0.8800 0.3600  4 Ho 2.96-3.12, 3 In 3.12, 1 Pr 3.13
Au3 0.1200 0.1200 0.6400  4 Ho 2.96-3.12, 3 In 3.12, 1 Pr 3.13
Au4 0.6161 0.6161 0.1516  1 In 3.03, 3 Ho 3.09, 3 Pr 3.16

Summary:
Its magnetization is 0.00 Bohr magnetons per cell. The space group is R-3m (166). The calculation puts the volume at 187 Å³/f.u. The value obtained for the calculated formation energy is -0.73 eV/atom.